KVClF2 | GGA+U | relaxed

Values from the calculation:
- final energy (eV/atom) = -5.14
- M_tot (μB per cell) = 3.0
- symmetry = P4/mmm (123)

Cell lengths 4.2787, 4.2787, 5.0722 Å; angles 90.00, 90.00, 90.00 degrees
Closest atoms and distances in Å follow each position.
Fractional coordinates of all 5 atoms:
K (0.5000, 0.5000, 0.5000)  4 Cl 3.03, 8 F 3.32
Cl (0.0000, 0.0000, 0.5000)  2 V 2.54
F (0.0000, 0.5000, 0.0000)  2 V 2.14
F (0.5000, 0.0000, 0.0000)  2 V 2.14
V (0.0000, 0.0000, 0.0000)  4 F 2.14